# TbHoBr3

Crystalline TbHoBr3 at its relaxed geometry (GGA-PBE, Alexandria via LeMat-Bulk).

Volume: 336.3 Å³ per cell
Relative energy among the computed polymorphs: 0.00 eV/f.u.
Formation energy without anion corrections: -1.495 eV/atom
ρ: 5.6 g cm⁻³

abc: 3.8993 9.3619 9.9835
angles: 72.36 78.74 77.98
With the nearest neighbours (Å) after each atom.
Sites, in units of the cell vectors:
Br  0.2124  0.6959  0.8794  1 Tb 2.90, 2 Ho 2.91
Br  0.3330  0.8281  0.5059  3 Tb 2.99
Br  0.6670  0.1719  0.4941  3 Tb 2.99
Br  0.0327  0.6788  0.2558  2 Ho 2.89, 1 Tb 2.92
Br  0.7876  0.3041  0.1206  1 Tb 2.90, 2 Ho 2.91
Br  0.9673  0.3212  0.7442  2 Ho 2.89, 1 Tb 2.92
Tb  0.1360  0.0118  0.7161  5 Br 2.90-2.99
Tb  0.8640  0.9882  0.2839  5 Br 2.90-2.99
Ho  0.4286  0.1838  0.9589  4 Br 2.89-2.91
Ho  0.5714  0.8162  0.0411  4 Br 2.89-2.91



# Rb3CdHg8

Crystalline Rb3CdHg8 at its relaxed geometry (GGA-PBE, Alexandria via LeMat-Bulk).

Volume: 487.5 Å³ per cell
Relative energy among the computed polymorphs: 0.40 eV/f.u.
ρ: 6.7 g cm⁻³
N(E_F): 7.2 states/eV/cell
DFT formation energy: -0.13 eV/atom

abc: 8.6281 8.6281 8.6281
angles: 101.57 113.56 113.56
With the nearest neighbours (Å) after each atom.
Sites, in units of the cell vectors:
Rb  0.0000  0.5000  0.5000  8 Hg 3.77-3.83
Hg  0.5534  0.7101  0.7101  2 Hg 3.03-3.08, 1 Cd 3.07
Hg  0.4466  0.1567  0.1567  2 Hg 3.03-3.08, 1 Cd 3.07
Hg  0.3031  0.3537  0.3537  1 Cd 3.00, 2 Hg 3.03-3.08
Hg  0.0000  0.2898  0.8433  2 Hg 3.03-3.08, 1 Cd 3.07
Rb  0.5000  0.7500  0.2500  8 Hg 3.63-3.91
Hg  0.6969  0.0506  0.0506  1 Cd 3.00, 2 Hg 3.03-3.08
Hg  0.0000  0.8433  0.2898  2 Hg 3.03-3.08, 1 Cd 3.07
Hg  0.0000  0.9494  0.6463  1 Cd 3.00, 2 Hg 3.03-3.08
Hg  0.0000  0.6463  0.9494  1 Cd 3.00, 2 Hg 3.03-3.08
Cd  0.0000  0.0000  0.0000  8 Hg 3.00-3.07
Rb  0.5000  0.2500  0.7500  8 Hg 3.63-3.91



# TbEr3Ir

Crystalline TbEr3Ir at its relaxed geometry (GGA-PBE, Alexandria via LeMat-Bulk).

Volume: 156.2 Å³ per cell
Relative energy among the computed polymorphs: 0.36 eV/f.u.
ρ: 9.1 g cm⁻³
N(E_F): 6.8 states/eV/cell
DFT formation energy: -0.28 eV/atom

abc: 5.3850 5.3850 5.3850
angles: 90.00 90.00 90.00
With the nearest neighbours (Å) after each atom.
Sites, in units of the cell vectors:
Er  0.0000  0.5000  0.0000  2 Ir 2.69
Er  0.5000  0.0000  0.0000  2 Ir 2.69
Tb  0.5000  0.5000  0.5000  12 Er 3.81
Er  0.0000  0.0000  0.5000  2 Ir 2.69
Ir  0.0000  0.0000  0.0000  6 Er 2.69



# In3WAu

Crystalline In3WAu at its relaxed geometry (GGA-PBE, Alexandria via LeMat-Bulk).

Volume: 149.5 Å³ per cell
Relative energy among the computed polymorphs: 0.00 eV/f.u.
ρ: 8.1 g cm⁻³
N(E_F): 5.0 states/eV/cell
DFT formation energy: 0.93 eV/atom

abc: 5.3076 5.3076 5.3076
angles: 90.00 90.00 90.00
With the nearest neighbours (Å) after each atom.
Sites, in units of the cell vectors:
W  0.0000  0.0000  0.0000  6 In 2.65
In  0.0000  0.0000  0.5000  2 W 2.65
In  0.5000  0.0000  0.0000  2 W 2.65
In  0.0000  0.5000  0.0000  2 W 2.65
Au  0.5000  0.5000  0.5000  12 In 3.75



# Be2PCl

Crystalline Be2PCl at its relaxed geometry (GGA-PBE, Alexandria via LeMat-Bulk).

Volume: 88.7 Å³ per cell
Relative energy among the computed polymorphs: 1.33 eV/f.u.
Formation energy without anion corrections: -0.185 eV/atom
ρ: 1.6 g cm⁻³
N(E_F): 0.0 states/eV/cell

abc: 5.8785 5.8785 4.7590
angles: 89.99 89.99 32.62
With the nearest neighbours (Å) after each atom.
Sites, in units of the cell vectors:
Cl  0.5606  0.5606  0.7012  1 Be 1.97
P  0.3115  0.3115  0.0276  4 Be 2.08-2.11
Be  0.7168  0.7168  0.8834  1 Cl 1.97, 2 P 2.08, 1 Be 2.19
Be  0.9112  0.9112  0.8878  2 P 2.11, 1 Be 2.19



# ZnCoTc

Crystalline ZnCoTc at its relaxed geometry (GGA-PBE, Alexandria via LeMat-Bulk).

Volume: 38.8 Å³ per cell
Relative energy among the computed polymorphs: 0.01 eV/f.u.
ρ: 9.5 g cm⁻³
N(E_F): 2.6 states/eV/cell
DFT formation energy: 0.01 eV/atom

abc: 5.6899 5.6899 5.6899
angles: 152.64 152.64 39.08
With the nearest neighbours (Å) after each atom.
Sites, in units of the cell vectors:
Zn  0.6582  0.6582  0.0000  4 Co 2.58, 4 Zn 2.69, 4 Tc 2.77
Co  0.9959  0.9959  0.0000  4 Tc 2.49, 4 Zn 2.58, 4 Co 2.69
Tc  0.3459  0.3459  0.0000  4 Co 2.49, 4 Tc 2.69, 4 Zn 2.77



# KOsBr2

Crystalline KOsBr2 at its relaxed geometry (GGA-PBE, Alexandria via LeMat-Bulk).

Volume: 99.9 Å³ per cell
Relative energy among the computed polymorphs: 2.04 eV/f.u.
Formation energy without anion corrections: 0.557 eV/atom
ρ: 6.5 g cm⁻³
N(E_F): 2.0 states/eV/cell

abc: 3.5703 3.6285 7.7149
angles: 90.00 90.00 90.00
With the nearest neighbours (Å) after each atom.
Sites, in units of the cell vectors:
Br  0.0000  0.0000  0.5278  4 Os 3.07, 4 K 3.33, 1 Br 3.43
Os  0.5000  0.5000  0.7500  8 Br 3.07
K  0.5000  0.5000  0.2500  8 Br 3.33, 4 K 3.57-3.63
Br  0.0000  0.0000  0.9722  4 Os 3.07, 4 K 3.33, 1 Br 3.43



# PmDyEr2

Crystalline PmDyEr2 at its relaxed geometry (GGA-PBE, Alexandria via LeMat-Bulk).

Volume: 126.2 Å³ per cell
Relative energy among the computed polymorphs: 0.01 eV/f.u.
ρ: 8.4 g cm⁻³
N(E_F): 5.3 states/eV/cell
DFT formation energy: 0.02 eV/atom

abc: 3.5525 3.5525 11.7260
angles: 81.29 81.29 60.00
With the nearest neighbours (Å) after each atom.
Sites, in units of the cell vectors:
Pm  0.0000  0.0000  0.0000  6 Pm 3.55, 6 Er 3.57
Er  0.2490  0.2490  0.2529  3 Dy 3.51, 6 Er 3.55, 3 Pm 3.57
Dy  0.5000  0.5000  0.5000  6 Er 3.51, 6 Dy 3.55
Er  0.7510  0.7510  0.7471  3 Dy 3.51, 6 Er 3.55, 3 Pm 3.57